Compound: CrRu2W
Source: Alexandria
Functional: PBE
Structure: optimized geometry

The structure in CIF format:
```
data_CrRu2W
_cell_length_a 2.701
_cell_length_b 4.154
_cell_length_c 5.196
_cell_angle_alpha 90.00
_cell_angle_beta 104.05
_cell_angle_gamma 90.00
_symmetry_space_group_name_H-M 'P 1 2/m 1'
_symmetry_Int_Tables_number 10
loop_
_symmetry_equiv_pos_as_xyz
'x,y,z'
'-x,-y,-z'
'-x,y,-z'
'x,-y,z'
loop_
_atom_site_label
_atom_site_fract_x
_atom_site_fract_y
_atom_site_fract_z
_atom_site_occupancy
Cr1 0.000 0.000 0.000 1
Ru1 0.378 0.500 0.235 1
W1 0.000 0.000 0.500 1
```

Properties
- Total moment: 0.0 Bohr magnetons per cell
- ΔE_f: 0.1706 eV per atom
- Distance to the lowest polymorph of the same formula: 90 meV/atom